{
  "formula": "TbErPtAu",
  "functional": "GGA-PBE",
  "state": "optimized geometry",
  "ef_ev_per_atom": -1.04,
  "volume_a3_per_cell": 89,
  "magnetic_moment_mub_per_fu": 0.000,
  "relative_energy_mev_per_atom": 49,
  "lattice_angstrom": [[5.003, 0.000, 0.000], [2.502, 4.333, 0.000], [2.502, 1.444, 4.085]],
  "species": ["Er", "Pt", "Tb", "Au"],
  "fractional_positions": [[0.500, 0.500, 0.500], [0.750, 0.750, 0.750], [0.000, 0.000, 0.000], [0.250, 0.250, 0.250]]
}